! HoSc2WO8, relaxed, DFT PBE with a Hubbard U; values from VASP
! Symmetry ... Cmmm (65)
! Total magnetization ... 0.000 μB/atom
! DOS(E_F) ... 0.520 states/eV per atom
! Energy ... -8.1723 eV per atom
&SYSTEM
  ibrav = 0, nat = 12, ntyp = 4
/
ATOMIC_SPECIES
Ho 164.93 Ho.upf
Sc 44.96 Sc.upf
W 183.84 W.upf
O 16.00 O.upf
CELL_PARAMETERS angstrom
3.426 -3.450 0.000
3.426 3.450 0.000
0.000 0.000 6.571
ATOMIC_POSITIONS angstrom
Ho 0.000 0.000 0.000
Sc 3.426 0.000 1.639
Sc 3.426 0.000 4.932
W 0.000 0.000 3.286
O 3.426 2.122 1.864
O 3.426 2.122 4.707
O 1.968 0.000 3.286
O 2.177 0.000 0.000
O 4.676 0.000 0.000
O 4.885 0.000 3.286
O 3.426 -2.122 1.864
O 3.426 -2.122 4.707